Entry from the Alexandria database: a relaxed structure of Ho6Sc2Hg (PBE).

a = 9.967 Å, b = 9.967 Å, c = 5.180 Å
α = 90.00°, β = 90.00°, γ = 90.00°
Space group P4_2/mnm (No. 136)
Unique sites:
Ho 0.034 0.319 0.000 x8
Ho 0.129 0.871 0.500 x4
Sc 0.209 0.209 0.500 x4
Hg 0.000 0.000 0.000 x2

Calculated values
E_form = -26 meV/atom
total DFT energy (no corrections) = -81.3 eV/cell
total magnetic moment = 0.00 Bohr magnetons per cell
crystal system = tetragonal